i.
KTl2P GGA-PBE relaxed; crystal system = monoclinic; V = 28.527 Å³/atom
1.0
5.968 0.030 0.109
-2.855 5.982 0.012
0.258 0.885 3.202
Tl K P
2 1 1
direct
0.500 0.000 0.500
0.000 0.000 0.000
0.000 0.500 0.500
0.500 0.500 0.000

---

ii.
KTl2P GGA-PBE relaxed; crystal system = orthorhombic; V = 31.415 Å³/atom
1.0
-4.591 0.491 4.674
-3.327 -3.106 4.738
1.916 0.772 5.576
Tl P K
2 1 1
direct
0.938 0.938 0.062
0.562 0.562 0.438
0.250 0.250 0.250
0.750 0.750 0.750

---

Which of them is the most stable? Correct choice: ii.

---

i.
K2TlP2 GGA-PBE relaxed; crystal system = tetragonal; V = 31.630 Å³/atom
1.0
-0.082 0.232 5.016
-1.766 -4.698 0.189
4.944 -4.431 2.800
K P Tl
2 2 1
direct
0.250 0.750 0.500
0.750 0.250 0.500
0.417 0.417 0.166
0.583 0.583 0.834
0.000 0.000 0.000

---

ii.
K2TlP2 GGA-PBE relaxed; crystal system = tetragonal; V = 29.395 Å³/atom
1.0
7.542 0.000 0.000
0.000 7.542 0.000
0.000 0.000 5.167
Tl K P
2 4 4
direct
0.000 0.000 0.000
0.500 0.500 0.000
0.319 0.181 0.500
0.181 0.681 0.500
0.819 0.319 0.500
0.681 0.819 0.500
0.100 0.400 0.000
0.900 0.600 0.000
0.600 0.100 0.000
0.400 0.900 0.000

---

Which of them is the most stable? Correct choice: ii.

---

i.
KTlP GGA-PBE relaxed; crystal system = orthorhombic; V = 28.255 Å³/atom
1.0
-3.749 5.513 -1.444
-6.181 2.242 1.819
6.201 -2.379 1.557
Tl P K
1 1 1
direct
0.698 0.698 0.000
0.317 0.317 0.000
0.986 0.986 0.000

---

ii.
KTlP GGA-PBE relaxed; crystal system = cubic; V = 31.617 Å³/atom
1.0
-4.923 1.270 0.598
-3.564 -3.659 0.341
-2.346 -0.880 4.464
Tl P K
1 1 1
direct
0.000 0.000 0.000
0.750 0.750 0.750
0.500 0.500 0.500

---

Which of them is the most stable? Correct choice: ii.

---

i.
KTlP GGA-PBE relaxed; crystal system = trigonal; V = 31.878 Å³/atom
1.0
4.434 0.000 0.000
-2.217 3.840 0.000
0.000 0.000 5.618
K P Tl
1 1 1
direct
0.000 0.000 0.026
0.667 0.333 0.400
0.333 0.667 0.574

---

ii.
KTlP GGA-PBE relaxed; crystal system = cubic; V = 33.952 Å³/atom
1.0
5.242 0.000 0.000
2.621 4.540 0.000
2.621 1.513 4.280
Tl K P
1 1 1
direct
0.500 0.500 0.500
0.750 0.750 0.750
0.000 0.000 0.000

---

Which of them is the most stable? Correct choice: i.

---

i.
KUP2 GGA-PBE relaxed; crystal system = trigonal; V = 27.265 Å³/atom
1.0
4.126 0.000 0.000
2.063 3.574 0.000
2.063 1.191 7.396
K P U
1 2 1
direct
0.500 0.500 0.500
0.274 0.274 0.179
0.726 0.726 0.821
0.000 0.000 0.000

---

ii.
KUP2 GGA-PBE relaxed; crystal system = trigonal; V = 27.578 Å³/atom
1.0
4.108 0.000 0.000
2.054 3.558 0.000
2.054 1.186 7.547
U P K
1 2 1
direct
0.668 0.668 0.997
0.060 0.060 0.819
0.275 0.275 0.176
0.497 0.497 0.509

---

Which of them is the most stable? Correct choice: i.

---

i.
KV3P GGA-PBE relaxed; crystal system = cubic; V = 22.258 Å³/atom
1.0
-1.813 -4.443 0.324
4.183 -1.818 -1.526
1.533 -0.293 4.550
V K P
3 1 1
direct
0.500 0.000 0.000
0.000 0.500 0.000
0.000 0.000 0.500
0.500 0.500 0.500
0.000 0.000 0.000

---

ii.
KV3P GGA-PBE relaxed; crystal system = cubic; V = 15.501 Å³/atom
1.0
-1.060 -1.199 3.952
-2.163 -3.314 -1.586
3.518 -2.399 0.216
V K P
3 1 1
direct
0.500 0.000 0.000
0.000 0.000 0.500
0.000 0.500 0.000
0.000 0.000 0.000
0.500 0.500 0.500

---

Which of them is the most stable? Correct choice: i.

---

i.
KPW3 GGA-PBE relaxed; crystal system = cubic; V = 18.864 Å³/atom
1.0
-0.820 4.457 -0.423
-2.654 -0.830 -3.604
-3.606 -0.403 2.748
W K P
3 1 1
direct
0.000 0.000 0.500
0.000 0.500 0.000
0.500 0.000 0.000
0.000 0.000 0.000
0.500 0.500 0.500

---

ii.
KPW3 GGA-PBE relaxed; crystal system = cubic; V = 19.841 Å³/atom
1.0
4.629 0.000 0.000
0.000 4.629 0.000
0.000 0.000 4.629
W P K
3 1 1
direct
0.500 0.000 0.000
0.000 0.500 0.000
0.000 0.000 0.500
0.000 0.000 0.000
0.500 0.500 0.500

---

Which of them is the most stable? Correct choice: ii.